1.
Below is a relaxed Rb2TlAgBr6 crystal, with properties calculated at the PBE-GGA level.

POSCAR file:
```
Rb2TlAgBr6
1.0
-6.2549 0.6078 -4.3119
4.3770 -1.1633 -6.5134
4.5175 -11.6237 5.1118
Br Tl Rb Ag
12 2 4 2
Direct
0.7339 0.3066 0.0306
0.2661 0.8066 0.4694
0.8363 0.6980 0.5360
0.6805 0.4931 0.7473
0.3195 0.9931 0.7527
0.1637 0.3020 0.4640
0.3195 0.5069 0.2527
0.2661 0.6934 0.9694
0.7339 0.1934 0.5306
0.6805 0.0069 0.2473
0.1637 0.1980 0.9640
0.8363 0.8020 0.0360
0.5000 0.0000 0.0000
0.5000 0.5000 0.5000
0.2262 0.4279 0.7492
0.7738 0.9279 0.7508
0.2262 0.0721 0.2492
0.7738 0.5721 0.2508
0.0000 0.5000 0.0000
0.0000 0.0000 0.5000
```

Summary:
The energy above the lowest structure with this stoichiometry comes out at 0 meV per atom. As for the total energy: -27.04 eV per formula unit. As for the space group: No. 14. Its volume is 33.80 Å³ per atom. As for the crystal system: monoclinic.



2.
Below is a relaxed ReAgBr6 crystal, with properties calculated at the PBE-GGA level.

POSCAR file:
```
ReAgBr6
1.0
6.6325 0.0000 0.0000
-3.3155 5.7445 0.0000
-0.0019 -3.8276 6.0126
Br Ag Re
6 1 1
Direct
0.6033 0.8238 0.7636
0.2203 0.1602 0.7636
0.7797 0.8398 0.2364
0.9398 0.5433 0.7636
0.3967 0.1762 0.2364
0.0602 0.4567 0.2364
0.5000 0.0000 0.5000
0.0000 0.0000 0.0000
```

Summary:
As for the total energy: -27.18 eV per formula unit. As for the space group: No. 148. Its volume is 28.64 Å³ per atom. As for the crystal system: trigonal.



3.
Below is a relaxed Ag3S4Br crystal, with properties calculated at the PBE-GGA level.

POSCAR file:
```
Ag3S4Br
1.0
-5.8845 -5.7249 -0.8410
3.0556 -3.8835 5.0556
-3.8415 3.2417 4.8120
Ag S Br
6 8 2
Direct
0.2687 0.3531 0.0172
0.2313 0.6469 0.5172
0.0000 0.8086 0.0147
0.7687 0.6469 0.5172
0.5000 0.1914 0.5147
0.7313 0.3531 0.0172
0.7311 0.3414 0.6679
0.2311 0.6586 0.1679
0.0000 0.1652 0.0690
0.0000 0.8054 0.6622
0.5000 0.1946 0.1622
0.5000 0.8348 0.5690
0.7689 0.6586 0.1679
0.2689 0.3414 0.6679
0.0000 0.1373 0.3859
0.5000 0.8627 0.8859
```

Summary:
As for the total energy: -24.14 eV per formula unit. As for the space group: No. 31. Its volume is 25.37 Å³ per atom. As for the crystal system: orthorhombic.



4.
Below is a relaxed Ag5S4Br3 crystal, with properties calculated at the PBE-GGA level.

POSCAR file:
```
Ag5S4Br3
1.0
7.7683 0.0000 0.0000
0.0000 6.1940 3.1853
0.0000 -6.1940 3.1853
Br S Ag
3 4 5
Direct
0.0000 0.0322 0.6951
0.5000 0.4734 0.4734
0.0000 0.6951 0.0322
0.5000 0.6219 0.0415
0.2238 0.3143 0.3143
0.5000 0.0415 0.6219
0.7762 0.3143 0.3143
0.0000 0.5854 0.5854
0.2825 0.3132 0.9446
0.7175 0.3132 0.9446
0.7175 0.9446 0.3132
0.2825 0.9446 0.3132
```

Summary:
As for the total energy: -34.50 eV per formula unit. As for the space group: No. 38. Its volume is 25.54 Å³ per atom. As for the crystal system: orthorhombic.



5.
Below is a relaxed AgS6Br crystal, with properties calculated at the PBE-GGA level.

POSCAR file:
```
AgS6Br
1.0
3.2492 1.1179 5.2573
-2.1116 -2.1445 5.5126
2.9968 -4.6974 2.8984
S Ag Br
6 1 1
Direct
0.7022 0.2978 0.2978
0.7022 0.2978 0.7022
0.2978 0.7022 0.7022
0.7022 0.7022 0.2978
0.2978 0.2978 0.7022
0.2978 0.7022 0.2978
0.0000 0.0000 0.0000
0.2500 0.2500 0.2500
```

Summary:
As for the total energy: -22.23 eV per formula unit. As for the space group: No. 216. Its volume is 21.90 Å³ per atom. As for the crystal system: cubic.



6.
Below is a relaxed AgSbBr6 crystal, with properties calculated at the PBE-GGA level.

POSCAR file:
```
AgSbBr6
1.0
0.0000 4.9604 4.9604
4.9604 0.0000 4.9604
4.9604 4.9604 0.0000
Br Ag Sb
6 1 1
Direct
0.5084 0.9916 0.5084
0.9916 0.5084 0.5084
0.9916 0.9916 0.5084
0.5084 0.9916 0.9916
0.9916 0.5084 0.9916
0.5084 0.5084 0.9916
0.2500 0.2500 0.2500
0.0000 0.0000 0.0000
```

Summary:
As for the total energy: -15.88 eV per formula unit. As for the space group: No. 216. Its volume is 30.51 Å³ per atom. As for the crystal system: cubic.



7.
Below is a relaxed ScTl2AgBr6 crystal, with properties calculated at the PBE-GGA level.

POSCAR file:
```
ScTl2AgBr6
1.0
-6.6295 2.1409 2.8274
-0.2185 6.3861 3.9621
-3.3831 5.9438 -3.1231
Br Tl Ag Sc
6 2 1 1
Direct
0.6850 0.8336 0.2315
0.1655 0.7692 0.3148
0.3148 0.1655 0.7692
0.2315 0.6850 0.8336
0.7692 0.3148 0.1655
0.8336 0.2315 0.6850
0.7489 0.7489 0.7489
0.2506 0.2506 0.2506
0.4993 0.4993 0.4993
0.9997 0.9997 0.9997
```

Summary:
As for the total energy: -34.75 eV per formula unit. As for the space group: No. 146. Its volume is 31.56 Å³ per atom. As for the crystal system: trigonal.



8.
Below is a relaxed Si6Ag2Br crystal, with properties calculated at the PBE-GGA level.

POSCAR file:
```
Si6Ag2Br
1.0
7.7332 0.0000 0.0000
-3.8666 6.6972 0.0000
0.0000 0.0000 3.6910
Si Ag Br
6 2 1
Direct
0.4976 0.0000 0.0000
0.6856 0.6856 0.5000
0.0000 0.4976 0.0000
0.0000 0.3144 0.5000
0.3144 0.0000 0.5000
0.5024 0.5024 0.0000
0.3333 0.6667 0.5000
0.6667 0.3333 0.5000
0.0000 0.0000 0.0000
```

Summary:
As for the total energy: -34.53 eV per formula unit. As for the space group: No. 189. Its volume is 21.24 Å³ per atom. As for the crystal system: hexagonal.



9.
Below is a relaxed AgSnBr4 crystal, with properties calculated at the PBE-GGA level.

POSCAR file:
```
AgSnBr4
1.0
6.8431 0.0000 0.0000
0.0000 4.1469 0.0000
-0.0179 0.0000 7.1945
Sn Br Ag
1 4 1
Direct
0.0000 0.0000 0.5000
0.2379 0.5000 0.3463
0.7621 0.5000 0.6537
0.2232 0.0000 0.8220
0.7768 0.0000 0.1780
0.0000 0.5000 0.0000
```

Summary:
As for the total energy: -16.56 eV per formula unit. As for the space group: No. 10. Its volume is 34.03 Å³ per atom. As for the crystal system: monoclinic.



10.
Below is a relaxed Tl2AgSnBr6 crystal, with properties calculated at the PBE-GGA level.

POSCAR file:
```
Tl2AgSnBr6
1.0
-3.8320 3.8320 5.6058
3.8320 -3.8320 5.6058
3.8320 3.8320 -5.6058
Br Ag Tl Sn
6 1 2 1
Direct
0.8103 0.6865 0.4968
0.7494 0.7494 0.0000
0.6865 0.1897 0.8763
0.2506 0.2506 0.0000
0.1897 0.3135 0.5032
0.3135 0.8103 0.1237
0.5000 0.5000 0.0000
0.7500 0.2500 0.5000
0.2500 0.7500 0.5000
0.0000 0.0000 0.0000
```

Summary:
The energy above the lowest structure with this stoichiometry comes out at 10 meV per atom. As for the total energy: -28.35 eV per formula unit. As for the space group: No. 87. Its volume is 32.93 Å³ per atom. As for the crystal system: tetragonal.



11.
Below is a relaxed Tl2AgSnBr6 crystal, with properties calculated at the PBE-GGA level.

POSCAR file:
```
Tl2AgSnBr6
1.0
-0.1487 5.5205 -5.2085
-5.6467 3.6493 4.0292
7.7258 0.0028 10.8250
Br Ag Sn Tl
12 2 2 4
Direct
0.8321 0.5047 0.7491
0.2314 0.6980 0.5368
0.7686 0.1980 0.9632
0.7686 0.3020 0.4632
0.1679 0.4953 0.2509
0.2314 0.8020 0.0368
0.6540 0.7001 0.9562
0.8321 0.9953 0.2491
0.6540 0.7999 0.4562
0.1679 0.0047 0.7509
0.3460 0.2001 0.5438
0.3460 0.2999 0.0438
0.5000 0.0000 0.0000
0.5000 0.5000 0.5000
0.0000 0.0000 0.5000
0.0000 0.5000 0.0000
0.2718 0.4207 0.7504
0.2718 0.0793 0.2504
0.7282 0.9207 0.7496
0.7282 0.5793 0.2496
```

Summary:
The energy above the lowest structure with this stoichiometry comes out at 0 meV per atom. As for the total energy: -28.45 eV per formula unit. As for the space group: No. 14. Its volume is 32.52 Å³ per atom. As for the crystal system: monoclinic.



12.
Below is a relaxed Tl2TcAgBr6 crystal, with properties calculated at the PBE-GGA level.

POSCAR file:
```
Tl2TcAgBr6
1.0
-3.2544 -1.5058 6.6566
-7.4081 1.1853 0.9405
-4.7146 -5.8742 0.6604
Br Tl Tc Ag
6 2 1 1
Direct
0.7610 0.7610 0.2390
0.7610 0.2390 0.7610
0.2390 0.7610 0.2390
0.7610 0.2390 0.2390
0.2390 0.2390 0.7610
0.2390 0.7610 0.7610
0.2500 0.2500 0.2500
0.7500 0.7500 0.7500
0.0000 0.0000 0.0000
0.5000 0.5000 0.5000
```

Summary:
As for the total energy: -32.64 eV per formula unit. As for the space group: No. 225. Its volume is 30.57 Å³ per atom. As for the crystal system: cubic.



13.
Below is a relaxed AgTe6Br2 crystal, with properties calculated at the PBE-GGA level.

POSCAR file:
```
AgTe6Br2
1.0
-1.5938 4.0280 -0.7844
-4.6903 -1.4788 6.9132
7.8968 2.8025 1.8470
Br Te Ag
2 6 1
Direct
0.5171 0.8490 0.1501
0.4829 0.1510 0.8499
0.8200 0.7025 0.7008
0.1479 0.4806 0.7972
0.1800 0.2975 0.2992
0.8315 0.1961 0.5160
0.8521 0.5194 0.2028
0.1685 0.8039 0.4840
0.0000 0.0000 0.0000
```

Summary:
As for the total energy: -25.60 eV per formula unit. As for the space group: No. 2. Its volume is 32.35 Å³ per atom. As for the crystal system: triclinic.



14.
Below is a relaxed Tl2AgBr3 crystal, with properties calculated at the PBE-GGA level.

POSCAR file:
```
Tl2AgBr3
1.0
-7.2154 6.5486 2.1572
-1.0340 -6.1870 -7.7622
-8.3615 -12.9910 11.4686
Br Tl Ag
27 18 9
Direct
0.6716 0.5764 0.2564
0.2381 0.9950 0.5898
0.0000 0.0000 0.0000
0.3333 0.6667 0.5333
0.4236 0.0952 0.2565
0.9097 0.5715 0.0768
0.7619 0.0050 0.4102
0.0952 0.6716 0.7436
0.4284 0.3382 0.0768
0.0000 0.0000 0.1999
0.3333 0.6667 0.3333
0.3284 0.4236 0.7436
0.6667 0.3333 0.6667
0.3382 0.9098 0.9232
0.6618 0.0902 0.0768
0.6667 0.3333 0.4667
0.6667 0.3333 0.8666
0.5764 0.9048 0.7435
0.9048 0.3284 0.2564
0.9950 0.7569 0.4102
0.0903 0.4285 0.9232
0.2431 0.2381 0.4102
0.0000 0.0000 0.8001
0.5716 0.6618 0.9232
0.0050 0.2431 0.5898
0.3333 0.6667 0.1334
0.7569 0.7619 0.5898
0.0341 0.2971 0.0902
0.7008 0.6305 0.7569
0.4036 0.3675 0.5765
0.9297 0.2992 0.7569
0.7029 0.7370 0.0902
0.0703 0.7008 0.2431
0.9638 0.5964 0.5765
0.9659 0.7029 0.9098
0.3675 0.9638 0.4235
0.5964 0.6325 0.4235
0.2630 0.9659 0.0902
0.0362 0.4036 0.4235
0.6325 0.0362 0.5765
0.2971 0.2630 0.9098
0.7370 0.0341 0.9098
0.3695 0.0703 0.7569
0.2992 0.3695 0.2431
0.6305 0.9297 0.2431
0.6666 0.3333 0.1666
0.0000 0.0000 0.5000
0.3334 0.6667 0.8334
0.6666 0.3333 0.0031
0.0000 0.0000 0.6636
0.3334 0.6667 0.9970
0.3333 0.6667 0.6697
0.0000 0.0000 0.3364
0.6667 0.3333 0.3303
```

Summary:
As for the total energy: -16.64 eV per formula unit. As for the space group: No. 148. Its volume is 30.73 Å³ per atom. As for the crystal system: trigonal.



15.
Below is a relaxed ZrTl2AgBr6 crystal, with properties calculated at the PBE-GGA level.

POSCAR file:
```
ZrTl2AgBr6
1.0
0.0000 5.4900 5.4900
5.4900 0.0000 5.4900
5.4900 5.4900 0.0000
Br Zr Tl Ag
6 1 2 1
Direct
0.7446 0.2554 0.7446
0.2554 0.7446 0.2554
0.2554 0.2554 0.7446
0.2554 0.7446 0.7446
0.7446 0.2554 0.2554
0.7446 0.7446 0.2554
0.5000 0.5000 0.5000
0.2500 0.2500 0.2500
0.7500 0.7500 0.7500
0.0000 0.0000 0.0000
```

Summary:
As for the total energy: -34.69 eV per formula unit. As for the space group: No. 225. Its volume is 33.09 Å³ per atom. As for the crystal system: cubic.



16.
Below is a relaxed Tm2AgBr6 crystal, with properties calculated at the PBE-GGA level.

POSCAR file:
```
Tm2AgBr6
1.0
11.2708 0.0000 0.0000
0.0000 6.6529 0.0000
-0.5137 0.0000 7.0392
Tm Br Ag
4 12 2
Direct
0.3068 0.0507 0.6110
0.3068 0.4493 0.1110
0.6932 0.5507 0.8890
0.6932 0.9493 0.3890
0.4565 0.1686 0.3239
0.5435 0.6686 0.1761
0.2504 0.6879 0.4224
0.1441 0.2016 0.3141
0.5435 0.8314 0.6761
0.4565 0.3314 0.8239
0.2504 0.8121 0.9224
0.8559 0.7016 0.1859
0.8559 0.7984 0.6859
0.1441 0.2984 0.8141
0.7496 0.3121 0.5776
0.7496 0.1879 0.0776
0.0000 0.0000 0.0000
0.0000 0.5000 0.5000
```

Summary:
As for the total energy: -33.46 eV per formula unit. As for the space group: No. 14. Its volume is 29.32 Å³ per atom. As for the crystal system: monoclinic.



17.
Below is a relaxed UAgBr6 crystal, with properties calculated at the PBE-GGA level.

POSCAR file:
```
UAgBr6
1.0
7.0550 0.0000 0.0000
3.5270 6.1114 0.0000
3.5265 2.0376 6.3934
Br U Ag
6 1 1
Direct
0.0918 0.7632 0.7563
0.7633 0.3885 0.7562
0.9082 0.2368 0.2437
0.6114 0.9080 0.2437
0.3886 0.0920 0.7563
0.2367 0.6115 0.2438
0.0000 0.0000 0.0000
0.5000 0.5000 0.5000
```

Summary:
As for the total energy: -32.15 eV per formula unit. As for the space group: No. 148. Its volume is 34.46 Å³ per atom. As for the crystal system: trigonal.



18.
Below is a relaxed Ag4C3 crystal, with properties calculated at the PBE-GGA level.

POSCAR file:
```
Ag4C3
1.0
-4.0219 -9.5407 1.3731
-2.1383 -9.3911 4.0398
-5.1469 -8.1155 4.0907
Ag C
4 3
Direct
0.2107 0.2107 0.2107
0.6305 0.6305 0.6305
0.7893 0.7893 0.7893
0.3695 0.3695 0.3695
0.5000 0.5000 0.5000
0.0785 0.0785 0.0785
0.9215 0.9215 0.9215
```

Summary:
As for the total energy: -25.54 eV per formula unit. As for the space group: No. 166. Its volume is 13.58 Å³ per atom. As for the crystal system: trigonal.



19.
Below is a relaxed AgC crystal, with properties calculated at the PBE-GGA level.

POSCAR file:
```
AgC
1.0
-0.6123 -2.8721 0.7743
2.8610 1.0163 0.0759
-0.3971 0.8938 3.0015
C Ag
1 1
Direct
0.3333 0.6667 0.2500
0.6667 0.3333 0.7500
```

Summary:
The energy above the lowest structure with this stoichiometry comes out at 1331 meV per atom. As for the total energy: -7.45 eV per formula unit. As for the space group: No. 187. Its volume is 12.61 Å³ per atom. As for the crystal system: hexagonal.



20.
Below is a relaxed Ag3C11 crystal, with properties calculated at the PBE-GGA level.

POSCAR file:
```
Ag3C11
1.0
4.6509 -3.6088 0.0000
4.6509 3.6088 0.0000
-2.4260 0.0000 4.8930
C Ag
11 3
Direct
0.5237 0.5237 0.4409
0.0140 0.6931 0.2723
0.8728 0.2068 0.4448
0.4488 0.7726 0.4312
0.7726 0.4488 0.4312
0.1215 0.1215 0.5840
0.8467 0.6497 0.3998
0.8703 0.8703 0.1228
0.6497 0.8467 0.3998
0.2068 0.8728 0.4448
0.6931 0.0140 0.2723
0.3686 0.3686 0.6337
0.2967 0.2967 0.0727
0.9708 0.9708 0.8500
```

Summary:
As for the total energy: -96.42 eV per formula unit. As for the space group: No. 8. Its volume is 11.73 Å³ per atom. As for the crystal system: monoclinic.